(1)
Entry from Alexandria via LeMat-Bulk: crystalline LaDy2ErTm4 at its relaxed geometry (PBE-GGA).

The structure in POSCAR format:
```
LaDy2ErTm4
1.0
6.112 -3.541 0.000
6.112 3.541 0.000
-4.044 0.000 11.521
La Dy Er Tm
2 4 2 8
Direct
0.000 0.500 0.000
0.500 0.000 0.000
0.000 0.000 0.000
0.000 0.000 0.500
0.000 0.500 0.500
0.500 0.000 0.500
0.500 0.500 0.000
0.500 0.500 0.500
0.249 0.249 0.746
0.249 0.748 0.748
0.251 0.251 0.254
0.252 0.751 0.252
0.748 0.249 0.748
0.749 0.749 0.746
0.751 0.252 0.252
0.751 0.751 0.254
```

Values from the calculation:
- uncorrected energy (eV/atom) = -4.55
- DFT formation energy (eV per atom) = 0.024

***

(2)
Entry from Alexandria via LeMat-Bulk: crystalline La2DyErTm2 at its relaxed geometry (PBE-GGA).

The structure in POSCAR format:
```
La2DyErTm2
1.0
5.717 0.000 0.000
0.000 10.954 0.000
0.000 0.000 6.331
La Dy Er Tm
4 2 2 4
Direct
0.000 0.081 0.000
0.000 0.919 0.500
0.500 0.251 0.170
0.500 0.749 0.670
0.000 0.257 0.507
0.000 0.743 0.007
0.500 0.420 0.668
0.500 0.580 0.168
0.000 0.421 0.000
0.000 0.579 0.500
0.500 0.088 0.669
0.500 0.912 0.169
```

Values from the calculation:
- uncorrected energy (eV/atom) = -4.63
- DFT formation energy (eV per atom) = 0.033

***

(3)
Entry from Alexandria via LeMat-Bulk: crystalline La2Dy2ErTm at its relaxed geometry (PBE-GGA).

The structure in POSCAR format:
```
La2Dy2ErTm
1.0
5.673 0.000 0.000
0.000 9.844 0.000
0.000 0.000 7.050
La Dy Er Tm
4 4 2 2
Direct
0.000 0.001 0.000
0.000 0.999 0.500
0.500 0.179 0.250
0.500 0.821 0.750
0.000 0.334 0.250
0.000 0.666 0.750
0.500 0.167 0.750
0.500 0.833 0.250
0.000 0.343 0.749
0.000 0.657 0.249
0.500 0.500 0.000
0.500 0.500 0.500
```

Values from the calculation:
- uncorrected energy (eV/atom) = -4.61
- DFT formation energy (eV per atom) = 0.070

***

(4)
Entry from Alexandria via LeMat-Bulk: crystalline La6DyEr2Tm at its relaxed geometry (PBE-GGA).

The structure in POSCAR format:
```
La6DyEr2Tm
1.0
4.659 -7.718 0.000
4.659 7.718 0.000
-1.418 0.000 9.652
La Dy Er Tm
12 2 4 2
Direct
0.002 0.561 0.194
0.110 0.761 0.552
0.239 0.890 0.948
0.296 0.509 0.381
0.439 0.998 0.306
0.491 0.704 0.119
0.509 0.296 0.881
0.561 0.002 0.694
0.704 0.491 0.619
0.761 0.110 0.052
0.890 0.239 0.448
0.998 0.439 0.806
0.026 0.974 0.250
0.974 0.026 0.750
0.198 0.292 0.046
0.292 0.198 0.546
0.708 0.802 0.454
0.802 0.708 0.954
0.413 0.587 0.750
0.587 0.413 0.250
```

Values from the calculation:
- uncorrected energy (eV/atom) = -4.67
- DFT formation energy (eV per atom) = 0.110

***

(5)
Entry from Alexandria via LeMat-Bulk: crystalline La4DyErTm2 at its relaxed geometry (PBE-GGA).

The structure in POSCAR format:
```
La4DyErTm2
1.0
5.231 0.000 0.000
0.000 5.249 0.000
0.000 0.000 9.803
La Dy Er Tm
4 1 1 2
Direct
0.000 0.000 0.249
0.000 0.000 0.751
0.500 0.500 0.249
0.500 0.500 0.751
0.000 0.500 0.500
0.500 0.000 0.000
0.000 0.500 0.000
0.500 0.000 0.500
```

Values from the calculation:
- uncorrected energy (eV/atom) = -4.70
- DFT formation energy (eV per atom) = 0.023

***

(6)
Entry from Alexandria via LeMat-Bulk: crystalline La2Dy6Er3Tm at its relaxed geometry (PBE-GGA).

The structure in POSCAR format:
```
La2Dy6Er3Tm
1.0
3.087 -5.347 0.000
3.087 5.347 0.000
-2.054 0.000 11.632
La Dy Er Tm
2 6 3 1
Direct
0.166 0.834 0.000
0.834 0.166 0.000
0.083 0.415 0.745
0.254 0.254 0.255
0.415 0.083 0.745
0.585 0.917 0.255
0.746 0.746 0.745
0.917 0.585 0.255
0.000 0.000 0.500
0.334 0.666 0.500
0.666 0.334 0.500
0.500 0.500 0.000
```

Values from the calculation:
- uncorrected energy (eV/atom) = -4.61
- DFT formation energy (eV per atom) = 0.024

***

(7)
Entry from Alexandria via LeMat-Bulk: crystalline La2DyEr2Tm at its relaxed geometry (PBE-GGA).

The structure in POSCAR format:
```
La2DyEr2Tm
1.0
7.046 0.000 0.000
0.000 5.674 0.000
0.000 0.000 9.824
La Dy Er Tm
4 2 4 2
Direct
0.000 0.000 0.000
0.250 0.500 0.181
0.500 0.000 0.000
0.750 0.500 0.819
0.250 0.000 0.657
0.750 0.000 0.343
0.250 0.000 0.335
0.250 0.500 0.833
0.750 0.000 0.665
0.750 0.500 0.167
0.000 0.500 0.500
0.500 0.500 0.500
```

Values from the calculation:
- uncorrected energy (eV/atom) = -4.60
- DFT formation energy (eV per atom) = 0.072

***

(8)
Entry from Alexandria via LeMat-Bulk: crystalline La5DyY2Er at its relaxed geometry (PBE-GGA).

The structure in POSCAR format:
```
La5DyY2Er
1.0
-4.385 4.385 8.318
4.385 -4.385 8.318
4.385 4.385 -8.318
La Dy Y Er
10 2 4 2
Direct
0.000 0.000 0.000
0.070 0.570 0.930
0.139 0.070 0.500
0.361 0.861 0.930
0.430 0.361 0.500
0.500 0.500 0.000
0.570 0.639 0.500
0.639 0.139 0.070
0.861 0.930 0.500
0.930 0.430 0.070
0.250 0.250 0.000
0.750 0.750 0.000
0.121 0.379 0.500
0.379 0.879 0.258
0.621 0.121 0.742
0.879 0.621 0.500
0.250 0.750 0.500
0.750 0.250 0.500
```

Values from the calculation:
- uncorrected energy (eV/atom) = -4.88
- DFT formation energy (eV per atom) = 0.315

***

(9)
Entry from Alexandria via LeMat-Bulk: crystalline LaDy2Y2Er2 at its relaxed geometry (PBE-GGA).

The structure in POSCAR format:
```
LaDy2Y2Er2
1.0
5.841 -1.759 0.000
5.841 1.759 0.000
-3.795 0.000 11.182
La Dy Y Er
1 2 2 2
Direct
0.000 0.000 0.000
0.329 0.329 0.418
0.671 0.671 0.582
0.448 0.448 0.725
0.552 0.552 0.275
0.223 0.223 0.857
0.777 0.777 0.143
```

Values from the calculation:
- uncorrected energy (eV/atom) = -5.07
- DFT formation energy (eV per atom) = 0.100

***

(10)
Entry from Alexandria via LeMat-Bulk: crystalline La3DyY2Er6 at its relaxed geometry (PBE-GGA).

The structure in POSCAR format:
```
La3DyY2Er6
1.0
3.106 -5.380 0.000
3.106 5.380 0.000
-2.067 0.000 11.627
La Dy Y Er
3 1 2 6
Direct
0.000 0.000 0.000
0.333 0.667 0.000
0.667 0.333 0.000
0.500 0.500 0.500
0.167 0.833 0.500
0.833 0.167 0.500
0.086 0.419 0.255
0.249 0.249 0.745
0.419 0.086 0.255
0.581 0.914 0.745
0.751 0.751 0.255
0.914 0.581 0.745
```

Values from the calculation:
- uncorrected energy (eV/atom) = -4.95
- DFT formation energy (eV per atom) = 0.026

***

(11)
Entry from Alexandria via LeMat-Bulk: crystalline La2Dy6YEr3 at its relaxed geometry (PBE-GGA).

The structure in POSCAR format:
```
La2Dy6YEr3
1.0
3.094 -5.358 0.000
3.094 5.358 0.000
-2.058 0.000 11.653
La Dy Y Er
2 6 1 3
Direct
0.166 0.834 0.000
0.834 0.166 0.000
0.082 0.414 0.744
0.253 0.253 0.256
0.414 0.082 0.744
0.586 0.918 0.256
0.747 0.747 0.744
0.918 0.586 0.256
0.500 0.500 0.000
0.000 0.000 0.500
0.334 0.666 0.500
0.666 0.334 0.500
```

Values from the calculation:
- uncorrected energy (eV/atom) = -4.78
- DFT formation energy (eV per atom) = 0.024

***

(12)
Entry from Alexandria via LeMat-Bulk: crystalline La2DyY2Er at its relaxed geometry (PBE-GGA).

The structure in POSCAR format:
```
La2DyY2Er
1.0
6.609 0.000 0.000
0.000 18.335 0.000
0.000 0.000 3.407
La Dy Y Er
4 2 4 2
Direct
0.226 0.186 0.000
0.274 0.686 0.500
0.726 0.314 0.500
0.774 0.814 0.000
0.000 0.500 0.000
0.500 0.000 0.500
0.221 0.356 0.500
0.279 0.856 0.000
0.721 0.144 0.000
0.779 0.644 0.500
0.000 0.000 0.000
0.500 0.500 0.500
```

Values from the calculation:
- uncorrected energy (eV/atom) = -5.06
- DFT formation energy (eV per atom) = 0.268

***

Computed Fermi-level density of states (states/eV per atom) in order:
1.31; 1.85; 1.58; 1.54; 1.31; 1.37; 1.57; 1.96; 1.81; 1.40; 1.39; 1.88